No. 1
! Ti2BeAlC (GGA-PBE, relaxed); values from VASP
&SYSTEM
  ibrav = 0, nat = 5, ntyp = 4
/
ATOMIC_SPECIES
Be 9.01 Be.upf
C 12.01 C.upf
Al 26.98 Al.upf
Ti 47.87 Ti.upf
ATOMIC_POSITIONS crystal
Be 0.000 0.000 0.000
C 0.000 0.500 0.000
Al 0.500 0.500 0.500
Ti 0.000 0.000 0.500
Ti 0.500 0.000 0.000
CELL_PARAMETERS angstrom
-1.245 -1.902 -4.079
2.981 -0.178 -0.827
0.273 -4.257 1.901
! Calculated total energy ... -6.01 eV/atom
! Theoretical density ... 3.53 g/cm³
! ΔE to the lowest computed polymorph ... 828.6 meV/atom
! Energy of formation from the pure elements ... 0.4818 eV per atom



No. 2
! BaTeSe4 (GGA-PBE, relaxed); values from VASP
&SYSTEM
  ibrav = 0, nat = 12, ntyp = 3
/
ATOMIC_SPECIES
Ba 137.33 Ba.upf
Te 127.60 Te.upf
Se 78.96 Se.upf
ATOMIC_POSITIONS crystal
Ba 0.118 0.000 0.250
Ba 0.882 0.000 0.750
Te 0.500 0.500 0.000
Te 0.000 0.500 0.500
Se 0.088 0.498 0.277
Se 0.590 0.502 0.223
Se 0.912 0.502 0.723
Se 0.410 0.498 0.777
Se 0.204 0.962 0.519
Se 0.241 0.038 0.981
Se 0.796 0.038 0.481
Se 0.759 0.962 0.019
CELL_PARAMETERS angstrom
5.311 0.000 0.000
-2.655 6.139 0.394
0.000 -1.704 12.305
! Raw formation energy ... -0.67 eV/atom
! Calculated total energy ... -3.83 eV/atom
! Theoretical density ... 4.77 g/cm³
! ΔE to the lowest computed polymorph ... 0.0 meV/atom